ZrFeTe2 | PBE | relaxed

a = 3.696 Å, b = 3.696 Å, c = 7.271 Å
α = 90.00°, β = 90.00°, γ = 90.00°
Element x y z (fractional)
Te: 0.500 0.500 0.345
Fe: 0.500 0.500 0.737
Zr: 0.000 0.000 0.518
Te: 0.000 0.000 0.900

## Properties
raw total energy = -24.7 eV for the cell shown
total moment = 2.47 μB per cell
SG = P4mm
DOS at the Fermi energy = 0.8151 states/eV per atom
formation energy without anion corrections = -0.342 eV per atom